*one*
Compound: PmTlHg3
Source: Alexandria via LeMat-Bulk
Functional: GGA-PBE
Structure: relaxed

Structure (CIF):
```
data_PmTlHg3
_symmetry_space_group_name_H-M 'P 1'
_symmetry_Int_Tables_number 1
_cell_length_a 5.587
_cell_length_b 6.590
_cell_length_c 8.684
_cell_angle_alpha 112.30
_cell_angle_beta 90.00
_cell_angle_gamma 90.00
loop_
_symmetry_equiv_pos_as_xyz
'x,y,z'
loop_
_atom_site_label
_atom_site_fract_x
_atom_site_fract_y
_atom_site_fract_z
Hg1 0.750 0.092 0.703
Hg2 0.250 0.908 0.297
Hg3 0.000 0.000 0.000
Hg4 0.750 0.611 0.703
Hg5 0.250 0.389 0.297
Hg6 0.500 0.000 0.000
Tl1 0.750 0.638 0.276
Tl2 0.250 0.362 0.724
Pm1 0.250 0.811 0.622
Pm2 0.750 0.189 0.378
```

Results
Space-group type: Cmcm (63)

***

*two*
Compound: PmTlHg3
Source: Alexandria via LeMat-Bulk
Functional: GGA-PBE
Structure: relaxed

Structure (CIF):
```
data_PmTlHg3
_symmetry_space_group_name_H-M 'P 1'
_symmetry_Int_Tables_number 1
_cell_length_a 6.657
_cell_length_b 4.782
_cell_length_c 9.222
_cell_angle_alpha 105.03
_cell_angle_beta 69.29
_cell_angle_gamma 90.00
loop_
_symmetry_equiv_pos_as_xyz
'x,y,z'
loop_
_atom_site_label
_atom_site_fract_x
_atom_site_fract_y
_atom_site_fract_z
Tl1 0.442 0.186 0.373
Tl2 0.558 0.814 0.627
Hg1 0.350 0.588 0.176
Hg2 0.087 0.784 0.569
Hg3 0.913 0.216 0.431
Hg4 0.213 0.014 0.029
Hg5 0.650 0.412 0.824
Hg6 0.787 0.986 0.971
Pm1 0.833 0.610 0.220
Pm2 0.167 0.390 0.780
```

Results
Space-group type: C2/m (12)

***

Ordering by calculated energy gives the sequence *two*, *one*, with the first entry being the most stable.

***

*one*
Compound: Pm4Tl3Hg
Source: Alexandria via LeMat-Bulk
Functional: GGA-PBE
Structure: relaxed

Structure (CIF):
```
data_Pm4Tl3Hg
_symmetry_space_group_name_H-M 'P 1'
_symmetry_Int_Tables_number 1
_cell_length_a 5.449
_cell_length_b 5.450
_cell_length_c 8.689
_cell_angle_alpha 108.24
_cell_angle_beta 108.28
_cell_angle_gamma 90.00
loop_
_symmetry_equiv_pos_as_xyz
'x,y,z'
loop_
_atom_site_label
_atom_site_fract_x
_atom_site_fract_y
_atom_site_fract_z
Tl1 0.000 0.500 0.000
Tl2 0.252 0.752 0.503
Tl3 0.748 0.248 0.497
Hg1 0.500 0.000 0.000
Pm1 0.123 0.123 0.246
Pm2 0.377 0.377 0.754
Pm3 0.877 0.877 0.754
Pm4 0.623 0.623 0.246
```

Results
Space-group type: I4/mmm (139)

***

*two*
Compound: Pm4Tl3Hg
Source: Alexandria via LeMat-Bulk
Functional: GGA-PBE
Structure: relaxed

Structure (CIF):
```
data_Pm4Tl3Hg
_symmetry_space_group_name_H-M 'P 1'
_symmetry_Int_Tables_number 1
_cell_length_a 4.433
_cell_length_b 4.635
_cell_length_c 11.848
_cell_angle_alpha 90.00
_cell_angle_beta 90.00
_cell_angle_gamma 90.00
loop_
_symmetry_equiv_pos_as_xyz
'x,y,z'
loop_
_atom_site_label
_atom_site_fract_x
_atom_site_fract_y
_atom_site_fract_z
Tl1 0.500 0.000 0.912
Tl2 0.000 0.500 0.589
Tl3 0.000 0.000 0.411
Pm1 0.000 0.000 0.137
Pm2 0.500 0.500 0.357
Pm3 0.000 0.500 0.865
Pm4 0.500 0.000 0.639
Hg1 0.500 0.500 0.089
```

Results
Space-group type: Pmm2 (25)

***

Ordering by calculated energy gives the sequence *one*, *two*, with the first entry being the most stable.

***

*one*
Compound: Pm2TlHg2
Source: Alexandria via LeMat-Bulk
Functional: GGA-PBE
Structure: relaxed

Structure (CIF):
```
data_Pm2TlHg2
_symmetry_space_group_name_H-M 'P 1'
_symmetry_Int_Tables_number 1
_cell_length_a 4.021
_cell_length_b 8.357
_cell_length_c 8.357
_cell_angle_alpha 90.00
_cell_angle_beta 90.00
_cell_angle_gamma 90.00
loop_
_symmetry_equiv_pos_as_xyz
'x,y,z'
loop_
_atom_site_label
_atom_site_fract_x
_atom_site_fract_y
_atom_site_fract_z
Pm1 0.500 0.172 0.672
Pm2 0.500 0.828 0.328
Pm3 0.500 0.328 0.172
Pm4 0.500 0.672 0.828
Tl1 0.000 0.500 0.500
Tl2 0.000 0.000 0.000
Hg1 0.000 0.627 0.127
Hg2 0.000 0.873 0.627
Hg3 0.000 0.373 0.873
Hg4 0.000 0.127 0.373
```

Results
Space-group type: P4/mbm (127)

***

*two*
Compound: Pm2TlHg2
Source: Alexandria via LeMat-Bulk
Functional: GGA-PBE
Structure: relaxed

Structure (CIF):
```
data_Pm2TlHg2
_symmetry_space_group_name_H-M 'P 1'
_symmetry_Int_Tables_number 1
_cell_length_a 5.018
_cell_length_b 6.296
_cell_length_c 10.044
_cell_angle_alpha 93.40
_cell_angle_beta 75.53
_cell_angle_gamma 66.52
loop_
_symmetry_equiv_pos_as_xyz
'x,y,z'
loop_
_atom_site_label
_atom_site_fract_x
_atom_site_fract_y
_atom_site_fract_z
Hg1 0.924 0.714 0.438
Hg2 0.664 0.799 0.872
Hg3 0.336 0.201 0.128
Hg4 0.076 0.286 0.562
Pm1 0.699 0.256 0.346
Pm2 0.301 0.744 0.654
Pm3 0.895 0.281 0.929
Pm4 0.105 0.719 0.071
Tl1 0.449 0.810 0.293
Tl2 0.551 0.190 0.707
```

Results
Space-group type: C2/m (12)

***

Ordering by calculated energy gives the sequence *one*, *two*, with the first entry being the most stable.